{
  "formula": "Cr2Cd2GeO6",
  "functional": "PBE+U",
  "state": "optimized geometry",
  "lattice": [[5.182, -0.023, 0.080], [-2.581, 4.494, 0.080], [-0.885, -1.521, 6.258]],
  "species": ["Cr", "Cr", "Cd", "Cd", "Ge", "O", "O", "O", "O", "O", "O"],
  "fractional_positions": [[0.334, 0.666, 0.500], [0.666, 0.334, 0.500], [0.832, 0.168, 0.000], [0.168, 0.832, 0.000], [0.000, 0.000, 0.500], [0.733, 0.733, 0.663], [0.047, 0.370, 0.661], [0.267, 0.267, 0.337], [0.370, 0.047, 0.661], [0.953, 0.630, 0.339], [0.630, 0.953, 0.339]],
  "sg": "No. 12",
  "magnetic_moment_mub_per_cell": 5.94,
  "energy_ev_per_cell": -66.55
}